# Be2Sb, PBEsol geometry, DFT meta-GGA SCAN
data_Be2Sb
_chemical_formula_sum 'Be4 Sb2'
_space_group_name_H-M_alt 'I 4/m m m'
_space_group_IT_number 139
_space_group_name_Hall '-I 4 2'
_cell_length_a 3.014
_cell_length_b 3.014
_cell_length_c 9.957
_cell_angle_alpha 90.00
_cell_angle_beta 90.00
_cell_angle_gamma 90.00
loop_
_atom_site_label
_atom_site_type_symbol
_atom_site_fract_x
_atom_site_fract_y
_atom_site_fract_z
Be1 Be 0.000 0.000 0.218
Sb1 Sb 0.000 0.000 0.500
# Final energy: -43.9 eV/f.u.
# N(E_F): 1.03 states/eV/f.u.
# Crystal system: tetragonal
# Energy relative to the elements, uncorrected: 0.68 eV per atom
# Energy above the most stable polymorph in this dataset: 0.151 eV/atom